Entry from Alexandria: a relaxed structure of BeZnCdCuIr (PBE).

Cell: 6.799 3.924 5.748 Å, 90.00 90.14 90.00°
Space group Cm (No. 8)
Symmetry-distinct sites (fractional):
Be1 0.000 0.000 0.000 (multiplicity 2)
Zn1 0.000 0.000 0.604 (multiplicity 2)
Cd1 0.333 0.000 0.335 (multiplicity 2)
Cu1 0.167 0.500 0.053 (multiplicity 2)
Ir1 0.333 0.000 0.840 (multiplicity 2)

Computed properties:
* E above lowest polymorph: 74 kJ/mol of formula units
* electronic total energy: -3.7762 eV per atom
* ΔE_f: 0.00 eV/atom
* Fermi-level density of states: 3.3 states/eV per cell

=====

Entry from Alexandria: a relaxed structure of Ba2HgAu2 (PBE).

Cell: 6.352 6.352 8.405 Å, 90.00 90.00 90.00°
Space group I4/mmm (No. 139)
Symmetry-distinct sites (fractional):
Ba1 0.000 0.500 0.250 (multiplicity 4)
Hg1 0.000 0.000 0.000 (multiplicity 2)
Au1 0.000 0.000 0.341 (multiplicity 4)

Computed properties:
* electronic total energy: -2.6693 eV per atom
* ΔE_f: -0.53 eV/atom
* Fermi-level density of states: 5.5 states/eV per cell

=====

Entry from Alexandria: a relaxed structure of PuVSb (PBE).

Cell: 5.228 3.478 7.179 Å, 90.00 90.00 90.00°
Space group Pmma (No. 51)
Symmetry-distinct sites (fractional):
Pu1 0.250 0.000 0.146 (multiplicity 2)
V1 0.000 0.000 0.500 (multiplicity 2)
Sb1 0.250 0.500 0.747 (multiplicity 2)

Computed properties:
* E above lowest polymorph: 1 kJ/mol of formula units
* electronic total energy: -9.2391 eV per atom
* E_form (uncorrected): -0.05 eV per atom
* Fermi-level density of states: 14.3 states/eV per cell

=====

Entry from Alexandria: a relaxed structure of KCdI2 (PBE).

Cell: 7.077 7.077 17.294 Å, 90.00 90.00 90.00°
Space group I-42d (No. 122)
Symmetry-distinct sites (fractional):
K1 0.000 0.000 0.000 (multiplicity 4)
Cd1 0.000 0.000 0.500 (multiplicity 4)
I1 0.196 0.250 0.625 (multiplicity 8)

Computed properties:
* E above lowest polymorph: 0 kJ/mol of formula units
* electronic total energy: -2.0233 eV per atom
* E_form (uncorrected): -0.75 eV per atom
* Fermi-level density of states: 1.0 states/eV per cell

=====

Entry from Alexandria: a relaxed structure of La2CdGe3Au4 (PBE).

Cell: 4.465 4.465 11.112 Å, 90.00 90.00 90.00°
Space group P-4m2 (No. 115)
Symmetry-distinct sites (fractional):
La1 0.000 0.500 0.233 (multiplicity 2)
Cd1 0.000 0.000 0.500 (multiplicity 1)
Ge1 0.000 0.500 0.869 (multiplicity 2)
Ge2 0.500 0.500 0.500 (multiplicity 1)
Au1 0.000 0.000 0.000 (multiplicity 1)
Au2 0.000 0.500 0.644 (multiplicity 2)
Au3 0.500 0.500 0.000 (multiplicity 1)

Computed properties:
* electronic total energy: -4.3651 eV per atom
* ΔE_f: -0.59 eV/atom
* Fermi-level density of states: 5.0 states/eV per cell

=====

Entry from Alexandria: a relaxed structure of Tm2Fe2C3 (PBE).

Cell: 9.809 3.391 5.471 Å, 90.00 105.86 90.00°
Space group C2/m (No. 12)
Symmetry-distinct sites (fractional):
Tm1 0.108 0.000 0.314 (multiplicity 4)
Fe1 0.158 0.500 0.895 (multiplicity 4)
C1 0.000 0.500 0.000 (multiplicity 2)
C2 0.209 0.000 0.766 (multiplicity 4)

Computed properties:
* E above lowest polymorph: 0 kJ/mol of formula units
* electronic total energy: -7.9354 eV per atom
* ΔE_f: -0.29 eV/atom
* Fermi-level density of states: 9.2 states/eV per cell